Entry 1:
Here is crystalline HoSc2As at its relaxed geometry from the Alexandria database. Energies are from PBE.

Cell: 3.6606 3.6606 26.6736 Å, 90.00 90.00 120.00°
Space group R-3m (No. 166, hexagonal axes)
Symmetry-distinct sites (fractional):
Ho1 0.0000 0.0000 0.0000 (multiplicity 3)
Sc1 0.0000 0.0000 0.2269 (multiplicity 6)
As1 0.0000 0.0000 0.5000 (multiplicity 3)

Computed properties:
* uncorrected energy: -6.00 eV/atom
* V: 25.8 A^3/atom
* distance to the lowest polymorph of the same formula: 0.85 eV per formula unit
* formation energy from the elements: -0.526 eV/atom


Entry 2:
Here is crystalline Ho2ScAs3 at its relaxed geometry from the Alexandria database. Energies are from PBE.

Cell: 4.039 4.039 17.074 Å, 90.00 90.00 90.00°
Space group I4/mmm (No. 139)
Symmetry-distinct sites (fractional):
Ho1 0.000 0.000 0.166 (multiplicity 4)
Sc1 0.000 0.000 0.500 (multiplicity 2)
As1 0.000 0.000 0.000 (multiplicity 2)
As2 0.000 0.000 0.337 (multiplicity 4)

Computed properties:
* uncorrected energy: -6.36 eV/atom
* V: 23.2 A^3/atom
* formation energy from the elements: -1.455 eV/atom


Entry 3:
Here is crystalline HoSc3As2 at its relaxed geometry from the Alexandria database. Energies are from PBE.

Cell: 15.313 3.884 9.977 Å, 90.00 112.13 90.00°
Space group C2/m (No. 12)
Symmetry-distinct sites (fractional):
Ho1 0.120 0.000 0.033 (multiplicity 4)
Sc1 0.059 0.000 0.396 (multiplicity 4)
Sc2 0.122 0.500 0.692 (multiplicity 4)
Sc3 0.215 0.500 0.368 (multiplicity 4)
As1 0.019 0.500 0.181 (multiplicity 4)
As2 0.232 0.000 0.852 (multiplicity 4)

Computed properties:
* uncorrected energy: -6.33 eV/atom
* V: 22.9 A^3/atom
* formation energy from the elements: -0.853 eV/atom


Entry 4:
Here is crystalline HoSc3As3 at its relaxed geometry from the Alexandria database. Energies are from PBE.

Cell: 8.315 8.315 8.315 Å, 90.00 90.00 90.00°
Space group P2_13 (No. 198)
Symmetry-distinct sites (fractional):
Ho1 0.067 0.433 0.567 (multiplicity 4)
Sc1 0.071 0.571 0.929 (multiplicity 4)
Sc2 0.179 0.821 0.321 (multiplicity 4)
Sc3 0.184 0.184 0.184 (multiplicity 4)
As1 0.002 0.257 0.878 (multiplicity 12)

Computed properties:
* uncorrected energy: -6.56 eV/atom
* V: 20.5 A^3/atom
* distance to the lowest polymorph of the same formula: 0.00 eV per formula unit
* formation energy from the elements: -1.203 eV/atom


Entry 5:
Here is crystalline HoSc3As4 at its relaxed geometry from the Alexandria database. Energies are from PBE.

Cell: 7.873 11.138 3.942 Å, 90.00 90.00 90.00°
Space group Cmmm (No. 65)
Symmetry-distinct sites (fractional):
Ho1 0.000 0.000 0.000 (multiplicity 2)
Sc1 0.000 0.500 0.000 (multiplicity 2)
Sc2 0.250 0.250 0.500 (multiplicity 4)
As1 0.000 0.255 0.000 (multiplicity 4)
As2 0.240 0.500 0.500 (multiplicity 4)

Computed properties:
* uncorrected energy: -6.67 eV/atom
* V: 21.6 A^3/atom
* formation energy from the elements: -1.402 eV/atom


Entry 6:
Here is crystalline HoScAs at its relaxed geometry from the Alexandria database. Energies are from PBE.

Cell: 11.9920 11.9920 10.7716 Å, 90.00 90.00 120.00°
Space group R-3 (No. 148, hexagonal axes)
Symmetry-distinct sites (fractional):
Ho1 0.0335 0.1971 0.3809 (multiplicity 18)
Sc1 0.0500 0.1873 0.8851 (multiplicity 18)
As1 0.0431 0.4342 0.3189 (multiplicity 18)

Computed properties:
* uncorrected energy: -6.01 eV/atom
* V: 24.8 A^3/atom
* formation energy from the elements: -0.822 eV/atom


Entry 7:
Here is crystalline HoSc2As at its relaxed geometry from the Alexandria database. Energies are from PBE.

Cell: 3.890 11.218 8.533 Å, 90.00 90.00 90.00°
Space group Cmcm (No. 63)
Symmetry-distinct sites (fractional):
Ho1 0.000 0.060 0.250 (multiplicity 4)
Sc1 0.000 0.357 0.053 (multiplicity 8)
As1 0.000 0.239 0.750 (multiplicity 4)

Computed properties:
* uncorrected energy: -6.21 eV/atom
* V: 23.3 A^3/atom
* distance to the lowest polymorph of the same formula: 0.00 eV per formula unit
* formation energy from the elements: -0.739 eV/atom


Entry 8:
Here is crystalline HoScAsSe at its relaxed geometry from the Alexandria database. Energies are from PBE.

Cell: 3.9116 3.9116 20.4985 Å, 90.00 90.00 120.00°
Space group R3m (No. 160, hexagonal axes)
Symmetry-distinct sites (fractional):
Ho1 0.0000 0.0000 0.0000 (multiplicity 3)
Sc1 0.0000 0.0000 0.8201 (multiplicity 3)
As1 0.0000 0.0000 0.4169 (multiplicity 3)
Se1 0.0000 0.0000 0.2390 (multiplicity 3)

Computed properties:
* uncorrected formation energy: -1.55 eV per atom
* uncorrected energy: -6.31 eV/atom
* V: 22.6 A^3/atom


Entry 9:
Here is crystalline SmHo2ScAs4 at its relaxed geometry from the Alexandria database. Energies are from PBE.

Cell: 7.061 4.085 7.068 Å, 90.00 109.47 90.00°
Space group P2/m (No. 10)
Symmetry-distinct sites (fractional):
Sm1 0.000 0.000 0.000 (multiplicity 1)
Ho1 0.000 0.500 0.500 (multiplicity 1)
Ho2 0.500 0.000 0.500 (multiplicity 1)
Sc1 0.500 0.500 0.000 (multiplicity 1)
As1 0.259 0.500 0.250 (multiplicity 2)
As2 0.261 0.000 0.756 (multiplicity 2)

Computed properties:
* uncorrected energy: -6.31 eV/atom
* V: 24.0 A^3/atom
* formation energy from the elements: -1.464 eV/atom


Entry 10:
Here is crystalline Sm2HoScAs4 at its relaxed geometry from the Alexandria database. Energies are from PBE.

Cell: 7.104 4.113 7.115 Å, 90.00 109.51 90.00°
Space group P2/m (No. 10)
Symmetry-distinct sites (fractional):
Sm1 0.000 0.000 0.000 (multiplicity 1)
Sm2 0.000 0.500 0.500 (multiplicity 1)
Ho1 0.500 0.000 0.500 (multiplicity 1)
Sc1 0.500 0.500 0.000 (multiplicity 1)
As1 0.262 0.500 0.248 (multiplicity 2)
As2 0.266 0.000 0.761 (multiplicity 2)

Computed properties:
* uncorrected energy: -6.34 eV/atom
* V: 24.5 A^3/atom
* formation energy from the elements: -1.469 eV/atom


Entry 11:
Here is crystalline Tb2Ho3ScAs6 at its relaxed geometry from the Alexandria database. Energies are from PBE.

Cell: 17.777 4.082 8.158 Å, 90.00 103.28 90.00°
Space group C2/m (No. 12)
Symmetry-distinct sites (fractional):
Tb1 0.165 0.000 0.332 (multiplicity 4)
Ho1 0.000 0.500 0.500 (multiplicity 2)
Ho2 0.167 0.000 0.834 (multiplicity 4)
Sc1 0.000 0.500 0.000 (multiplicity 2)
As1 0.001 0.000 0.760 (multiplicity 4)
As2 0.163 0.500 0.079 (multiplicity 4)
As3 0.166 0.500 0.585 (multiplicity 4)

Computed properties:
* uncorrected energy: -6.26 eV/atom
* V: 24.0 A^3/atom
* formation energy from the elements: -1.494 eV/atom


Entry 12:
Here is crystalline Tb2HoScAs4 at its relaxed geometry from the Alexandria database. Energies are from PBE.

Cell: 7.042 4.072 7.045 Å, 90.00 109.49 90.00°
Space group P2/m (No. 10)
Symmetry-distinct sites (fractional):
Tb1 0.000 0.000 0.000 (multiplicity 1)
Tb2 0.000 0.500 0.500 (multiplicity 1)
Ho1 0.500 0.000 0.500 (multiplicity 1)
Sc1 0.500 0.500 0.000 (multiplicity 1)
As1 0.257 0.500 0.246 (multiplicity 2)
As2 0.261 0.000 0.760 (multiplicity 2)

Computed properties:
* uncorrected energy: -6.33 eV/atom
* V: 23.8 A^3/atom
* formation energy from the elements: -1.482 eV/atom